! K2CdGaI5 (PBE, relaxed); values from VASP
&SYSTEM
  ibrav = 0, nat = 18, ntyp = 4
/
ATOMIC_SPECIES
I 126.90 I.upf
Cd 112.41 Cd.upf
K 39.10 K.upf
Ga 69.72 Ga.upf
ATOMIC_POSITIONS crystal
I 0.504 0.007 0.267
I 0.911 0.822 0.571
I 0.253 0.505 0.662
I 0.375 0.749 0.990
I 0.294 0.589 0.410
I 0.089 0.178 0.071
I 0.496 0.993 0.767
I 0.625 0.251 0.490
I 0.747 0.495 0.162
I 0.706 0.411 0.910
Cd 0.233 0.467 0.032
Cd 0.767 0.533 0.532
K 0.920 0.840 0.149
K 0.080 0.160 0.649
K 0.863 0.726 0.794
K 0.137 0.274 0.294
Ga 0.550 0.100 0.949
Ga 0.450 0.900 0.449
CELL_PARAMETERS angstrom
4.668 0.000 0.000
-2.334 10.028 0.000
0.000 0.000 16.524
! Symmetry = No. 36
! Density = 3842 kg/m3
! M_tot = 0.0 μB per cell
! Raw formation energy = -0.88 eV/atom